Entry from OQMD: a relaxed structure of ZnSnTeO (PBE).

It has space group P6_3mc (No. 186), with a = 3.3801 Å, b = 3.3801 Å, c = 15.2153 Å, α = 90.00°, β = 90.00° and γ = 120.00°. The distinct sites, in fractional coordinates, are Zn at (0.3333, 0.6667, 0.0000), Sn at (0.0000, 0.0000, 0.1845), Te at (0.3333, 0.6667, 0.3619) and O at (0.0000, 0.0000, 0.0448).

The value obtained for the offset from the most stable computed form is 0.244 eV per atom. For the total energy, the calculation gives -0.28220 Ry/atom.